VASP calculation (PBE) on a relaxed MnZnH3 crystal.

Cell: 3.310 3.310 3.310 Å, 90.00 90.00 90.00°
Space group Pm-3m (No. 221)
Symmetry-distinct sites (fractional):
Mn  0.000  0.000  0.000 (multiplicity 1)
Zn  0.500  0.500  0.500 (multiplicity 1)
H  0.000  0.000  0.500 (multiplicity 3)

Values from the calculation:
electronic total energy = -3.89 eV/atom

***

VASP calculation (PBE) on a relaxed HfBiSN2 crystal.

Cell: 4.180 4.180 5.102 Å, 90.00 90.00 90.00°
Space group P4/mmm (No. 123)
Symmetry-distinct sites (fractional):
Hf  0.000  0.000  0.000 (multiplicity 1)
Bi  0.500  0.500  0.500 (multiplicity 1)
S  0.000  0.000  0.500 (multiplicity 1)
N  0.000  0.500  0.000 (multiplicity 2)

Values from the calculation:
raw formation energy = 0.0165 eV/atom

***

VASP calculation (PBE) on a relaxed IrOsPb4 crystal.

Cell: 8.588 8.588 8.588 Å, 90.00 90.00 90.00°
Space group F-43m (No. 216)
Symmetry-distinct sites (fractional):
Ir  0.000  0.000  0.000 (multiplicity 4)
Os  0.250  0.250  0.750 (multiplicity 4)
Pb  0.125  0.125  0.375 (multiplicity 16)

Values from the calculation:
calculated formation energy = 155 kJ/mol of atoms

***

VASP calculation (PBE) on a relaxed InAgBr2 crystal.

Cell: 7.824 4.510 9.139 Å, 90.00 107.01 90.00°
Space group Cm (No. 8)
Symmetry-distinct sites (fractional):
In  0.000  0.000  0.000 (multiplicity 2)
Ag  0.496  0.000  0.489 (multiplicity 2)
Br  0.102  0.500  0.808 (multiplicity 2)
Br  0.132  0.000  0.400 (multiplicity 2)

Values from the calculation:
raw formation energy = -0.4470 eV/atom

***

VASP calculation (PBE) on a relaxed Pr2ZnSiNi6 crystal.

Cell: 5.023 6.177 6.335 Å, 84.39 66.76 66.02°
Space group P-1 (No. 2)
Symmetry-distinct sites (fractional):
Pr  0.047  0.208  0.197 (multiplicity 2)
Zn  0.500  0.500  0.000 (multiplicity 1)
Si  0.500  0.000  0.500 (multiplicity 1)
Ni  0.008  0.258  0.716 (multiplicity 2)
Ni  0.340  0.410  0.410 (multiplicity 2)
Ni  0.482  0.742  0.283 (multiplicity 2)

Values from the calculation:
raw formation energy = -0.3712 eV/atom

***

VASP calculation (PBE) on a relaxed CaTa3Pt crystal.

Cell: 4.990 4.990 4.990 Å, 90.00 90.00 90.00°
Space group Pm-3m (No. 221)
Symmetry-distinct sites (fractional):
Ca  0.000  0.000  0.000 (multiplicity 1)
Ta  0.000  0.500  0.500 (multiplicity 3)
Pt  0.500  0.500  0.500 (multiplicity 1)

Values from the calculation:
calculated formation energy = 95 kJ/mol of atoms

***

Number 5 is which compound?
Pr2ZnSiNi6